1.
A relaxed Li2BeSb2 crystal. Source: Alexandria via LeMat-Bulk, functional PBE-GGA.

a = 4.249 Å, b = 4.249 Å, c = 13.450 Å
α = 90.00°, β = 90.00°, γ = 90.00°
Space group I4/mmm (No. 139)
Symmetry-distinct sites (fractional):
Li 0.000 0.000 0.100 x4
Be 0.000 0.000 0.500 x2
Sb 0.000 0.500 0.250 x4

Results
V in Å³/cell: 242.84
Total DFT energy (no corrections) in eV/f.u.: -13.791
E above lowest polymorph in eV per atom: 0.528
E_form (uncorrected) in eV per atom: 0.401


2.
A relaxed LiBeSb crystal. Source: Alexandria via LeMat-Bulk, functional PBE-GGA.

a = 3.3399 Å, b = 3.3399 Å, c = 6.0649 Å
α = 90.00°, β = 90.00°, γ = 120.00°
Space group P3m1 (No. 156)
Symmetry-distinct sites (fractional):
Li 0.0000 0.0000 0.0000 x1
Be 0.3333 0.6667 0.6716 x1
Sb 0.6667 0.3333 0.3912 x1

Results
V in Å³/cell: 58.59
Total DFT energy (no corrections) in eV/f.u.: -8.669
E_form (uncorrected) in eV per atom: 0.364


3.
A relaxed Li2BeSb2 crystal. Source: Alexandria via LeMat-Bulk, functional PBE-GGA.

a = 6.790 Å, b = 6.790 Å, c = 4.592 Å
α = 90.00°, β = 90.00°, γ = 90.00°
Space group P4/mbm (No. 127)
Symmetry-distinct sites (fractional):
Li 0.162 0.338 0.000 x4
Be 0.000 0.000 0.500 x2
Sb 0.153 0.653 0.500 x4

Results
V in Å³/cell: 211.70
Total DFT energy (no corrections) in eV/f.u.: -16.432
E above lowest polymorph in eV per atom: 0.000
E_form (uncorrected) in eV per atom: -0.127


E_form (uncorrected) of number 2 (LiBeSb)?
0.364 eV per atom


What did the first record say?
A relaxed Li2BeSb2 crystal. Source: Alexandria via LeMat-Bulk, functional PBE-GGA.

a = 4.249 Å, b = 4.249 Å, c = 13.450 Å
α = 90.00°, β = 90.00°, γ = 90.00°
Space group I4/mmm (No. 139)
Symmetry-distinct sites (fractional):
Li 0.000 0.000 0.100 x4
Be 0.000 0.000 0.500 x2
Sb 0.000 0.500 0.250 x4

Results
V in Å³/cell: 242.84
Total DFT energy (no corrections) in eV/f.u.: -13.791
E above lowest polymorph in eV per atom: 0.528
E_form (uncorrected) in eV per atom: 0.401